No. 1
Compound: KMg2Ga2
Source: Alexandria via LeMat-Bulk
Functional: PBE
Structure: optimized geometry

Computed properties:
Total moment in μB/cell: 0.0
Excess energy over the best structure of this formula in the dataset in meV/atom: 0
Final energy in eV/atom: -2.139

Unit cell a=8.8825 b=8.8825 c=2.9608 alpha=90.00 beta=90.00 gamma=90.00
Atoms (fractional coordinates):
K1 0.0000 0.0000 0.0000
K2 0.5000 0.5000 0.0000
Mg1 0.1291 0.3709 0.0000
Mg2 0.3709 0.8709 0.0000
Mg3 0.6291 0.1291 0.0000
Mg4 0.8709 0.6291 0.0000
Ga1 0.1626 0.6626 0.5000
Ga2 0.3374 0.1626 0.5000
Ga3 0.6626 0.8374 0.5000
Ga4 0.8374 0.3374 0.5000

=====

No. 2
Compound: ZnSeF3
Source: Alexandria via LeMat-Bulk
Functional: PBE
Structure: optimized geometry

Computed properties:
Energy relative to the elements, uncorrected in kJ/mol of formula units: -603
Total moment in μB/cell: 3.0
Excess energy over the best structure of this formula in the dataset in meV/atom: 0
Final energy in eV/atom: -3.325

Unit cell a=4.1607 b=4.1607 c=4.1607 alpha=90.00 beta=90.00 gamma=90.00
Atoms (fractional coordinates):
Zn1 0.0000 0.0000 0.0000
Se1 0.5000 0.5000 0.5000
F1 0.0000 0.0000 0.5000
F2 0.0000 0.5000 0.0000
F3 0.5000 0.0000 0.0000

=====

No. 3
Compound: Ho2Ga2MoRu5
Source: Alexandria via LeMat-Bulk
Functional: PBE
Structure: optimized geometry

Computed properties:
Total moment in μB/cell: 0.0
Final energy in eV/atom: -7.545

Unit cell a=10.0872 b=10.0872 c=3.2993 alpha=90.00 beta=90.00 gamma=90.00
Atoms (fractional coordinates):
Ho1 0.1710 0.3290 0.0000
Ho2 0.3290 0.8290 0.0000
Ho3 0.6710 0.1710 0.0000
Ho4 0.8290 0.6710 0.0000
Ga1 0.1282 0.6282 0.0000
Ga2 0.3718 0.1282 0.0000
Ga3 0.6282 0.8718 0.0000
Ga4 0.8718 0.3718 0.0000
Mo1 0.0000 0.0000 0.0000
Mo2 0.5000 0.5000 0.0000
Ru1 0.0000 0.5000 0.5000
Ru2 0.0642 0.8044 0.5000
Ru3 0.1956 0.0642 0.5000
Ru4 0.3044 0.5642 0.5000
Ru5 0.4358 0.3044 0.5000
Ru6 0.5000 0.0000 0.5000
Ru7 0.5642 0.6956 0.5000
Ru8 0.6956 0.4358 0.5000
Ru9 0.8044 0.9358 0.5000
Ru10 0.9358 0.1956 0.5000